Crystalline Pr3HoC8 at its relaxed geometry. Source: the Alexandria database, functional PBE.

Results
ΔE_f ... 160 meV/atom
Raw total energy ... -7.566 eV/atom
Theoretical density ... 5.50 g/cm3

abc: 6.453 6.453 6.453
angles: 69.20 73.16 110.80
Atoms (fractional coordinates):
C 0.376 0.000 0.943
C 0.612 0.473 0.388
C 0.139 0.527 0.861
C 0.943 0.319 0.057
C 0.057 0.000 0.624
C 0.861 0.000 0.612
C 0.388 0.000 0.139
C 0.624 0.681 0.376
Pr 0.500 0.000 0.500
Pr 0.250 0.500 0.250
Pr 0.750 0.500 0.750
Ho 0.000 0.000 0.000